(A)
A plane-wave DFT calculation with PBE-GGA was carried out for a relaxed PtSeOF2 crystal.

Properties
Calculated density = 7.3 g cm⁻³

Cell lengths 4.455, 4.455, 3.741 Å; angles 90.00, 90.00, 90.00 degrees
Fractional coordinates of all 5 atoms:
O: 0.000 0.000 0.500
Se: 0.000 0.000 0.000
Pt: 0.500 0.500 0.500
F: 0.000 0.500 0.000
F: 0.500 0.000 0.000


(B)
A plane-wave DFT calculation with PBE-GGA was carried out for a relaxed PtSeOF2 crystal.

Properties
Calculated density = 7.1 g cm⁻³

Cell lengths 4.493, 4.493, 3.819 Å; angles 90.00, 90.00, 90.00 degrees
Fractional coordinates of all 5 atoms:
O: 0.000 0.000 0.500
Se: 0.500 0.500 0.500
Pt: 0.000 0.000 0.000
F: 0.000 0.500 0.000
F: 0.500 0.000 0.000


Computed energies relative to the best structure, in meV/atom: (A) 223; (B) 0


(A)
A plane-wave DFT calculation with PBE-GGA was carried out for a relaxed SiPtOF2 crystal.

Properties
Calculated density = 6.1 g cm⁻³

Cell lengths 4.359, 4.359, 3.941 Å; angles 90.00, 90.00, 90.00 degrees
Fractional coordinates of all 5 atoms:
Si: 0.500 0.500 0.500
O: 0.000 0.000 0.500
Pt: 0.000 0.000 0.000
F: 0.000 0.500 0.000
F: 0.500 0.000 0.000


(B)
A plane-wave DFT calculation with PBE-GGA was carried out for a relaxed SiPtOF2 crystal.

Properties
Calculated density = 6.1 g cm⁻³

Cell lengths 4.568, 3.595, 4.568 Å; angles 90.00, 90.00, 90.00 degrees
Fractional coordinates of all 5 atoms:
Si: 0.500 0.500 0.500
O: 0.000 0.000 0.000
Pt: 0.000 0.500 0.000
F: 0.000 0.000 0.500
F: 0.500 0.000 0.000


(C)
A plane-wave DFT calculation with PBE-GGA was carried out for a relaxed SiPtOF2 crystal.

Properties
Calculated density = 7.8 g cm⁻³

Cell lengths 4.232, 4.232, 3.276 Å; angles 90.00, 90.00, 90.00 degrees
Fractional coordinates of all 5 atoms:
Si: 0.000 0.000 0.000
O: 0.000 0.000 0.500
Pt: 0.500 0.500 0.500
F: 0.000 0.500 0.000
F: 0.500 0.000 0.000


Computed energies relative to the best structure, in meV/atom: (A) 627; (B) 728; (C) 0


(A)
A plane-wave DFT calculation with PBE-GGA was carried out for a relaxed TaPtOF2 crystal.

Properties
Calculated density = 9.5 g cm⁻³

Cell lengths 4.318, 4.318, 4.038 Å; angles 90.00, 90.00, 90.00 degrees
Fractional coordinates of all 5 atoms:
F: 0.000 0.500 0.000
F: 0.500 0.000 0.000
O: 0.000 0.000 0.500
Pt: 0.000 0.000 0.000
Ta: 0.500 0.500 0.500


(B)
A plane-wave DFT calculation with PBE-GGA was carried out for a relaxed TaPtOF2 crystal.

Properties
Calculated density = 10.5 g cm⁻³

Cell lengths 4.171, 4.171, 3.923 Å; angles 90.00, 90.00, 90.00 degrees
Fractional coordinates of all 5 atoms:
F: 0.000 0.500 0.000
F: 0.500 0.000 0.000
O: 0.000 0.000 0.500
Pt: 0.500 0.500 0.500
Ta: 0.000 0.000 0.000


Computed energies relative to the best structure, in meV/atom: (A) 1544; (B) 0


(A)
A plane-wave DFT calculation with PBE-GGA was carried out for a relaxed TcPtOF2 crystal.

Properties
Calculated density = 8.6 g cm⁻³

Cell lengths 4.235, 4.235, 3.757 Å; angles 90.00, 90.00, 90.00 degrees
Fractional coordinates of all 5 atoms:
O: 0.000 0.000 0.500
Tc: 0.000 0.000 0.000
Pt: 0.500 0.500 0.500
F: 0.000 0.500 0.000
F: 0.500 0.000 0.000


(B)
A plane-wave DFT calculation with PBE-GGA was carried out for a relaxed TcPtOF2 crystal.

Properties
Calculated density = 7.4 g cm⁻³

Cell lengths 4.515, 4.515, 3.811 Å; angles 90.00, 90.00, 90.00 degrees
Fractional coordinates of all 5 atoms:
O: 0.000 0.000 0.500
Tc: 0.500 0.500 0.500
Pt: 0.000 0.000 0.000
F: 0.000 0.500 0.000
F: 0.500 0.000 0.000


Computed energies relative to the best structure, in meV/atom: (A) 0; (B) 470


(A)
A plane-wave DFT calculation with PBE-GGA was carried out for a relaxed Pu2OF crystal.

Properties
Calculated density = 12.9 g cm⁻³

Cell lengths 3.438, 3.438, 6.862 Å; angles 75.49, 75.49, 60.00 degrees
Fractional coordinates of all 4 atoms:
F: 0.500 0.500 0.500
O: 0.000 0.000 0.000
Pu: 0.739 0.739 0.782
Pu: 0.261 0.261 0.218


(B)
A plane-wave DFT calculation with PBE-GGA was carried out for a relaxed Pu2OF crystal.

Properties
Calculated density = 13.4 g cm⁻³

Cell lengths 3.149, 3.149, 6.518 Å; angles 90.00, 90.00, 90.00 degrees
Fractional coordinates of all 4 atoms:
F: 0.500 0.500 0.500
O: 0.500 0.500 0.000
Pu: 0.000 0.000 0.769
Pu: 0.000 0.000 0.231


Computed energies relative to the best structure, in meV/atom: (A) 0; (B) 397


(A)
A plane-wave DFT calculation with PBE-GGA was carried out for a relaxed RbOF crystal.

Properties
Calculated density = 3.1 g cm⁻³

Cell lengths 5.077, 5.496, 9.139 Å; angles 90.00, 90.00, 90.00 degrees
Fractional coordinates of all 12 atoms:
O: 0.500 0.112 0.756
O: 0.000 0.612 0.244
O: 0.500 0.888 0.756
O: 0.000 0.388 0.244
F: 0.000 0.500 0.585
F: 0.000 0.000 0.933
F: 0.500 0.000 0.415
F: 0.500 0.500 0.067
Rb: 0.000 0.000 0.553
Rb: 0.000 0.500 0.902
Rb: 0.500 0.000 0.098
Rb: 0.500 0.500 0.447


(B)
A plane-wave DFT calculation with PBE-GGA was carried out for a relaxed RbOF crystal.

Properties
Calculated density = 2.7 g cm⁻³

Cell lengths 3.939, 7.903, 10.535 Å; angles 115.16, 90.00, 90.00 degrees
Fractional coordinates of all 12 atoms:
Rb: 0.749 0.463 0.653
Rb: 0.249 0.037 0.347
Rb: 0.251 0.537 0.347
Rb: 0.751 0.963 0.653
O: 0.443 0.059 0.982
O: 0.943 0.441 0.018
O: 0.557 0.941 0.018
O: 0.057 0.559 0.982
F: 0.750 0.293 0.356
F: 0.250 0.207 0.644
F: 0.250 0.707 0.644
F: 0.750 0.793 0.356


Computed energies relative to the best structure, in meV/atom: (A) 34; (B) 0


(A)
A plane-wave DFT calculation with PBE-GGA was carried out for a relaxed Rb2OF crystal.

Properties
Calculated density = 2.7 g cm⁻³

Cell lengths 6.276, 6.276, 7.901 Å; angles 66.60, 66.60, 90.00 degrees
Fractional coordinates of all 8 atoms:
O: 0.500 0.500 0.000
O: 0.250 0.750 0.500
Rb: 0.633 0.125 0.250
Rb: 0.117 0.625 0.250
Rb: 0.375 0.367 0.750
Rb: 0.875 0.883 0.750
F: 0.000 0.000 0.000
F: 0.750 0.250 0.500


(B)
A plane-wave DFT calculation with PBE-GGA was carried out for a relaxed Rb2OF crystal.

Properties
Calculated density = 4.0 g cm⁻³

Cell lengths 4.944, 4.944, 4.944 Å; angles 60.00, 60.00, 60.00 degrees
Fractional coordinates of all 4 atoms:
O: 0.000 0.000 0.000
Rb: 0.250 0.250 0.250
Rb: 0.750 0.750 0.750
F: 0.500 0.500 0.500


Computed energies relative to the best structure, in meV/atom: (A) 0; (B) 31


(A)
A plane-wave DFT calculation with PBE-GGA was carried out for a relaxed RbO2F crystal.

Properties
Calculated density = 3.3 g cm⁻³

Cell lengths 4.602, 4.602, 4.602 Å; angles 60.00, 60.00, 60.00 degrees
Fractional coordinates of all 4 atoms:
O: 0.250 0.250 0.250
O: 0.750 0.750 0.750
Rb: 0.500 0.500 0.500
F: 0.000 0.000 0.000


(B)
A plane-wave DFT calculation with PBE-GGA was carried out for a relaxed RbO2F crystal.

Properties
Calculated density = 2.1 g cm⁻³

Cell lengths 8.958, 3.877, 5.469 Å; angles 45.05, 119.23, 96.85 degrees
Fractional coordinates of all 4 atoms:
Rb: 0.113 0.135 0.320
O: 0.655 0.585 0.783
O: 0.570 0.687 0.858
F: 0.113 0.135 0.821


Computed energies relative to the best structure, in meV/atom: (A) 1438; (B) 0